{
  "formula": "NaGe2WO",
  "functional": "GGA+U",
  "state": "relaxed",
  "total_energy_ev_per_fu": -13.093,
  "mass_density_g_cm3": 4.67,
  "lattice": [[4.940, 0.000, 0.000], [0.000, 4.940, 0.000], [0.000, 0.000, 5.366]],
  "species": ["Na", "Ge", "Ge", "W", "O"],
  "frac_coords": [[0.000, 0.000, 0.000], [0.000, 0.500, 0.000], [0.500, 0.000, 0.000], [0.000, 0.000, 0.500], [0.500, 0.500, 0.500]]
}